# ZnGaTe2N

A geometry-optimized ZnGaTe2N structure (PBE, the Alexandria database).

Density (Mg/m³): 5.65
Raw formation energy (eV/atom): 0.634
Calculated volume (Å³ per cell): 118.86

Cell: 5.8494 5.8494 3.4740 Å, 90.00 90.00 90.00°
With the nearest neighbours (Å) after each atom.
Space group P4/mmm (No. 123)
Unique sites:
Zn (0.0000, 0.0000, 0.0000) (multiplicity 1)  8 Te 3.40, 2 Zn 3.47
Ga (0.5000, 0.5000, 0.5000) (multiplicity 1)  2 N 1.74
Te (0.0000, 0.5000, 0.5000) (multiplicity 2)  2 Ga 2.92
N (0.5000, 0.5000, 0.0000) (multiplicity 1)  2 Ga 1.74



# ZnGaTe2N

A geometry-optimized ZnGaTe2N structure (PBE, the Alexandria database).

Density (Mg/m³): 5.36
Raw formation energy (eV/atom): 0.683
Calculated volume (Å³ per cell): 125.21

Cell: 5.9362 5.9362 3.5531 Å, 90.00 90.00 90.00°
With the nearest neighbours (Å) after each atom.
Space group P4/mmm (No. 123)
Unique sites:
Zn (0.0000, 0.0000, 0.0000) (multiplicity 1)  2 N 1.78
Ga (0.5000, 0.5000, 0.5000) (multiplicity 1)  8 Te 3.46, 2 Ga 3.55
Te (0.0000, 0.5000, 0.0000) (multiplicity 2)  2 Zn 2.97
N (0.0000, 0.0000, 0.5000) (multiplicity 1)  2 Zn 1.78



# ZrGaTe2N

A geometry-optimized ZrGaTe2N structure (PBE, the Alexandria database).

Density (Mg/m³): 6.46
Raw formation energy (eV/atom): 0.405
Calculated volume (Å³ per cell): 110.64

Cell: 5.5366 5.5366 3.6094 Å, 90.00 90.00 90.00°
With the nearest neighbours (Å) after each atom.
Space group P4/mmm (No. 123)
Unique sites:
Zr (0.0000, 0.0000, 0.0000) (multiplicity 1)  8 Te 3.30, 2 Zr 3.61
Ga (0.5000, 0.5000, 0.5000) (multiplicity 1)  2 N 1.80
Te (0.0000, 0.5000, 0.5000) (multiplicity 2)  2 Ga 2.77
N (0.5000, 0.5000, 0.0000) (multiplicity 1)  2 Ga 1.80



# ZrGaTe2N

A geometry-optimized ZrGaTe2N structure (PBE, the Alexandria database).

Density (Mg/m³): 5.16
Raw formation energy (eV/atom): -0.030
Calculated volume (Å³ per cell): 138.34

Cell: 5.8774 5.8774 4.0047 Å, 90.00 90.00 90.00°
With the nearest neighbours (Å) after each atom.
Space group P4/mmm (No. 123)
Unique sites:
Zr (0.0000, 0.0000, 0.0000) (multiplicity 1)  2 N 2.00
Ga (0.5000, 0.5000, 0.5000) (multiplicity 1)  8 Te 3.56
Te (0.0000, 0.5000, 0.0000) (multiplicity 2)  2 Zr 2.94
N (0.0000, 0.0000, 0.5000) (multiplicity 1)  2 Zr 2.00



# ThGaN

A geometry-optimized ThGaN structure (PBE, the Alexandria database).

Density (Mg/m³): 8.17
Raw formation energy (eV/atom): -0.800
Calculated volume (Å³ per cell): 256.71

Cell: 6.3555 6.3555 6.3555 Å, 90.00 90.00 90.00°
With the nearest neighbours (Å) after each atom.
Space group P2_13 (No. 198)
Unique sites:
Th (0.0992, 0.4008, 0.5992) (multiplicity 4)  3 N 2.32
Ga (0.1005, 0.8995, 0.3995) (multiplicity 4)  1 N 2.05
N (0.0859, 0.5859, 0.9141) (multiplicity 4)  1 Ga 2.05



# Th2GaN

A geometry-optimized Th2GaN structure (PBE, the Alexandria database).

Density (Mg/m³): 10.05
Raw formation energy (eV/atom): -0.872
Calculated volume (Å³ per cell): 271.64

Cell: 3.7249 3.7249 22.6062 Å, 90.00 90.00 120.00°
With the nearest neighbours (Å) after each atom.
Space group R-3m (No. 166, hexagonal axes)
Unique sites:
Th (0.0000, 0.0000, 0.2297) (multiplicity 6)  3 N 2.58
Ga (0.0000, 0.0000, 0.0000) (multiplicity 3)  6 Th 3.18
N (0.0000, 0.0000, 0.5000) (multiplicity 3)  6 Th 2.58



# ThGaN

A geometry-optimized ThGaN structure (PBE, the Alexandria database).

Density (Mg/m³): 8.04
Raw formation energy (eV/atom): -1.080
Calculated volume (Å³ per cell): 260.95

Cell: 5.8827 5.7184 7.9111 Å, 90.00 101.32 90.00°
With the nearest neighbours (Å) after each atom.
Space group C2/m (No. 12)
Unique sites:
Th (0.2114, 0.0000, 0.3535) (multiplicity 4)  4 N 2.34-2.35
Ga (0.2150, 0.5000, 0.0561) (multiplicity 4)  1 Ga 2.51
N (0.0000, 0.2511, 0.5000) (multiplicity 4)  4 Th 2.34-2.35



# Th4Ga2N

A geometry-optimized Th4Ga2N structure (PBE, the Alexandria database).

Density (Mg/m³): 9.83
Raw formation energy (eV/atom): -0.559
Calculated volume (Å³ per cell): 365.37

Cell: 4.7817 4.7817 15.9800 Å, 90.00 90.00 90.00°
With the nearest neighbours (Å) after each atom.
Space group I4/mmm (No. 139)
Unique sites:
Th (0.0000, 0.0000, 0.1734) (multiplicity 4)  1 N 2.77, 1 Ga 3.04
Th (0.0000, 0.5000, 0.0000) (multiplicity 4)  2 N 2.39
Ga (0.0000, 0.0000, 0.3638) (multiplicity 4)  5 Th 3.04-3.23
N (0.0000, 0.0000, 0.0000) (multiplicity 2)  4 Th 2.39